Entry 1:
LiLuTeOs: optimized geometry, PBE.

Results
Size of the total moment in μB per formula unit: 0.02
Space group: F-43m, No. 216
Offset from the most stable computed form in kcal/mol of atoms: 6.283
Electronic total energy in Ha/atom: -0.191

Cell lengths 6.741, 6.741, 6.741 Å; angles 90.00, 90.00, 90.00 degrees
Positions (direct):
Li 0.000 0.000 0.000
Li 0.000 0.500 0.500
Li 0.500 0.000 0.500
Li 0.500 0.500 0.000
Lu 0.000 0.000 0.500
Lu 0.000 0.500 0.000
Lu 0.500 0.000 0.000
Lu 0.500 0.500 0.500
Te 0.250 0.250 0.250
Te 0.250 0.750 0.750
Te 0.750 0.250 0.750
Te 0.750 0.750 0.250
Os 0.250 0.250 0.750
Os 0.250 0.750 0.250
Os 0.750 0.250 0.250
Os 0.750 0.750 0.750


Entry 2:
BiPt: optimized geometry, PBE.

Results
Size of the total moment in μB per formula unit: 0.00
Space group: P6_3/mmc, No. 194
Electronic total energy in Ha/atom: -0.186

Cell lengths 4.047, 4.047, 6.712 Å; angles 90.00, 90.00, 120.00 degrees
Positions (direct):
Bi 0.000 0.000 0.000
Bi 0.000 0.000 0.500
Pt 0.333 0.667 0.250
Pt 0.667 0.333 0.750


Entry 3:
FeBIrAu: optimized geometry, PBE.

Results
Size of the total moment in μB per formula unit: 2.73
Space group: F-43m, No. 216
Offset from the most stable computed form in kcal/mol of atoms: 0.000
Electronic total energy in Ha/atom: -0.222

Cell lengths 5.956, 5.956, 5.956 Å; angles 90.00, 90.00, 90.00 degrees
Positions (direct):
Fe 0.000 0.000 0.000
Fe 0.000 0.500 0.500
Fe 0.500 0.000 0.500
Fe 0.500 0.500 0.000
B 0.250 0.250 0.750
B 0.250 0.750 0.250
B 0.750 0.250 0.250
B 0.750 0.750 0.750
Ir 0.000 0.000 0.500
Ir 0.000 0.500 0.000
Ir 0.500 0.000 0.000
Ir 0.500 0.500 0.500
Au 0.250 0.250 0.250
Au 0.250 0.750 0.750
Au 0.750 0.250 0.750
Au 0.750 0.750 0.250


Entry 4:
PrGdSn2: optimized geometry, PBE.

Results
Size of the total moment in μB per formula unit: 0.00
Space group: Amm2, No. 38
Electronic total energy in Ha/atom: -0.159

Cell lengths 3.377, 6.345, 12.431 Å; angles 90.00, 90.00, 90.00 degrees
Positions (direct):
Pr 0.000 0.000 0.000
Pr 0.000 0.500 0.500
Gd 0.000 0.000 0.281
Gd 0.000 0.500 0.781
Sn 0.000 0.000 0.524
Sn 0.000 0.000 0.751
Sn 0.000 0.500 0.024
Sn 0.000 0.500 0.251


Which formula does entry 2 have? BiPt


Which of these has the highest size of the total moment? FeBIrAu


Please write out number 3 again, unchanged.
FeBIrAu: optimized geometry, PBE.

Results
Size of the total moment in μB per formula unit: 2.73
Space group: F-43m, No. 216
Offset from the most stable computed form in kcal/mol of atoms: 0.000
Electronic total energy in Ha/atom: -0.222

Cell lengths 5.956, 5.956, 5.956 Å; angles 90.00, 90.00, 90.00 degrees
Positions (direct):
Fe 0.000 0.000 0.000
Fe 0.000 0.500 0.500
Fe 0.500 0.000 0.500
Fe 0.500 0.500 0.000
B 0.250 0.250 0.750
B 0.250 0.750 0.250
B 0.750 0.250 0.250
B 0.750 0.750 0.750
Ir 0.000 0.000 0.500
Ir 0.000 0.500 0.000
Ir 0.500 0.000 0.000
Ir 0.500 0.500 0.500
Au 0.250 0.250 0.250
Au 0.250 0.750 0.750
Au 0.750 0.250 0.750
Au 0.750 0.750 0.250


What is the formula in the first record? LiLuTeOs